DyMg2Ni2: optimized geometry, PBE.

Output
DFT formation energy: -0.18 eV per atom

a b c (Å): 3.976 4.803 10.422
angles (deg): 104.77 90.00 90.00
Atoms (fractional coordinates):
Dy1 0.250 0.745 0.233
Dy2 0.750 0.255 0.767
Mg1 0.250 0.823 0.895
Mg2 0.750 0.177 0.105
Mg3 0.250 0.268 0.514
Mg4 0.750 0.732 0.486
Ni1 0.250 0.848 0.652
Ni2 0.750 0.152 0.348
Ni3 0.250 0.366 0.974
Ni4 0.750 0.634 0.026

---

Dy2MgNi9: optimized geometry, PBE.

Output
DFT formation energy: -0.29 eV per atom

a b c (Å): 4.917 4.917 8.539
angles (deg): 73.27 73.27 60.00
Each line ends with the local moment (μB).
Atoms (fractional coordinates):
Dy1 0.864 0.864 0.408  -0.07
Dy2 0.136 0.136 0.592  -0.07
Mg1 0.000 0.000 0.000  0.00
Ni1 0.667 0.667 0.999  0.42
Ni2 0.333 0.333 0.001  0.42
Ni3 0.500 0.500 0.500  0.13
Ni4 0.418 0.418 0.244  0.26
Ni5 0.920 0.418 0.244  0.26
Ni6 0.418 0.920 0.244  0.26
Ni7 0.582 0.582 0.756  0.26
Ni8 0.582 0.080 0.756  0.26
Ni9 0.080 0.582 0.756  0.26

---

Dy7Mg2Ni2: optimized geometry, PBE.

Output
DFT formation energy: -0.04 eV per atom

a b c (Å): 6.782 7.145 6.782
angles (deg): 90.00 109.60 90.00
Atoms (fractional coordinates):
Dy1 0.000 0.243 0.500
Dy2 0.500 0.757 0.000
Dy3 0.000 0.757 0.500
Dy4 0.500 0.243 0.000
Dy5 0.000 0.000 0.000
Dy6 0.500 0.768 0.500
Dy7 0.500 0.232 0.500
Mg1 0.825 0.500 0.825
Mg2 0.175 0.500 0.175
Ni1 0.706 0.000 0.294
Ni2 0.294 0.000 0.706

---

Dy3Mg3Ni: optimized geometry, PBE.

Output
DFT formation energy: -0.15 eV per atom

a b c (Å): 10.047 10.047 10.047
angles (deg): 60.00 60.00 60.00
Atoms (fractional coordinates):
Dy1 0.051 0.449 0.051
Dy2 0.199 0.199 0.801
Dy3 0.801 0.801 0.199
Dy4 0.801 0.199 0.801
Dy5 0.801 0.199 0.199
Dy6 0.199 0.801 0.801
Dy7 0.449 0.051 0.051
Dy8 0.051 0.051 0.449
Dy9 0.449 0.449 0.051
Dy10 0.051 0.449 0.449
Dy11 0.199 0.801 0.199
Dy12 0.449 0.051 0.449
Mg1 0.830 0.830 0.830
Mg2 0.420 0.420 0.741
Mg3 0.420 0.741 0.420
Mg4 0.741 0.420 0.420
Mg5 0.830 0.509 0.830
Mg6 0.509 0.830 0.830
Mg7 0.830 0.830 0.509
Mg8 0.420 0.420 0.420
Mg9 0.625 0.625 0.625
Mg10 0.625 0.625 0.125
Mg11 0.625 0.125 0.625
Mg12 0.125 0.625 0.625
Ni1 0.125 0.125 0.125
Ni2 0.125 0.125 0.625
Ni3 0.125 0.625 0.125
Ni4 0.625 0.125 0.125

---

Dy3Mg2Ni4: optimized geometry, PBE.

Output
DFT formation energy: -0.32 eV per atom

a b c (Å): 4.074 5.291 8.708
angles (deg): 93.91 90.00 112.64
Atoms (fractional coordinates):
Dy1 0.371 0.742 0.619
Dy2 0.000 0.000 0.000
Dy3 0.629 0.258 0.381
Mg1 0.327 0.654 0.218
Mg2 0.673 0.346 0.782
Ni1 0.716 0.432 0.076
Ni2 0.078 0.156 0.615
Ni3 0.922 0.844 0.385
Ni4 0.284 0.568 0.924

---

DyMg6Ni6: optimized geometry, PBE.

Output
DFT formation energy: -0.19 eV per atom

a b c (Å): 5.113 6.800 6.800
angles (deg): 80.57 67.92 67.92
Atoms (fractional coordinates):
Dy1 0.000 0.000 0.000
Mg1 0.347 0.653 0.653
Mg2 0.653 0.347 0.347
Mg3 0.000 0.335 0.665
Mg4 0.000 0.665 0.335
Mg5 0.310 0.190 0.190
Mg6 0.690 0.810 0.810
Ni1 0.000 0.500 0.000
Ni2 0.500 0.500 0.000
Ni3 0.000 0.000 0.500
Ni4 0.500 0.000 0.500
Ni5 0.500 0.770 0.230
Ni6 0.500 0.230 0.770

---

DyMg4Ni: optimized geometry, PBE.

Output
DFT formation energy: -0.05 eV per atom

a b c (Å): 5.332 6.876 8.422
angles (deg): 114.09 108.52 90.00
Atoms (fractional coordinates):
Dy1 0.208 0.208 0.416
Dy2 0.792 0.792 0.584
Mg1 0.842 0.342 0.683
Mg2 0.609 0.341 0.218
Mg3 0.000 0.201 0.000
Mg4 0.391 0.123 0.782
Mg5 0.158 0.658 0.317
Mg6 0.391 0.659 0.782
Mg7 0.000 0.799 0.000
Mg8 0.609 0.877 0.218
Ni1 0.727 0.500 0.999
Ni2 0.273 0.500 0.001

---

Dy12MgNi5: optimized geometry, PBE.

Output
DFT formation energy: -0.27 eV per atom

a b c (Å): 8.343 8.343 8.343
angles (deg): 106.79 111.62 110.04
Atoms (fractional coordinates):
Dy1 0.524 0.819 0.705
Dy2 0.476 0.181 0.295
Dy3 0.886 0.181 0.705
Dy4 0.114 0.819 0.295
Dy5 0.693 0.679 0.372
Dy6 0.307 0.321 0.628
Dy7 0.307 0.679 0.985
Dy8 0.693 0.321 0.015
Dy9 0.810 0.599 0.789
Dy10 0.190 0.401 0.211
Dy11 0.190 0.980 0.789
Dy12 0.810 0.020 0.211
Mg1 0.000 0.500 0.500
Ni1 0.634 0.634 0.000
Ni2 0.366 0.366 0.000
Ni3 0.500 0.123 0.623
Ni4 0.500 0.877 0.377
Ni5 0.000 0.000 0.000

---

DyMg8Ni4: optimized geometry, PBE.

Output
DFT formation energy: -0.14 eV per atom

a b c (Å): 5.386 7.063 7.063
angles (deg): 81.64 67.59 67.59
Atoms (fractional coordinates):
Dy1 0.000 0.000 0.000
Mg1 0.000 0.336 0.664
Mg2 0.000 0.664 0.336
Mg3 0.336 0.664 0.664
Mg4 0.664 0.336 0.336
Mg5 0.500 0.780 0.220
Mg6 0.500 0.220 0.780
Mg7 0.280 0.220 0.220
Mg8 0.720 0.780 0.780
Ni1 0.000 0.000 0.500
Ni2 0.500 0.000 0.500
Ni3 0.000 0.500 0.000
Ni4 0.500 0.500 0.000

---

Dy3Mg5Ni2: optimized geometry, PBE.

Output
DFT formation energy: -0.10 eV per atom

a b c (Å): 6.025 9.396 9.396
angles (deg): 67.85 71.30 71.30
Atoms (fractional coordinates):
Dy1 0.250 0.000 0.000
Dy2 0.750 0.000 0.000
Dy3 0.328 0.379 0.964
Dy4 0.672 0.621 0.036
Dy5 0.828 0.964 0.379
Dy6 0.172 0.036 0.621
Mg1 0.250 0.500 0.500
Mg2 0.750 0.500 0.500
Mg3 0.552 0.698 0.698
Mg4 0.948 0.302 0.302
Mg5 0.448 0.302 0.302
Mg6 0.052 0.698 0.698
Mg7 0.072 0.653 0.202
Mg8 0.928 0.347 0.798
Mg9 0.572 0.202 0.653
Mg10 0.428 0.798 0.347
Ni1 0.162 0.776 0.901
Ni2 0.838 0.224 0.099
Ni3 0.662 0.901 0.776
Ni4 0.338 0.099 0.224

---

Dy3MgNi8: optimized geometry, PBE.

Output
DFT formation energy: -0.43 eV per atom

a b c (Å): 5.002 5.002 8.696
angles (deg): 73.28 73.28 60.00
Atoms (fractional coordinates):
Dy1 0.377 0.377 0.870
Dy2 0.995 0.995 0.016
Dy3 0.504 0.504 0.487
Mg1 0.873 0.873 0.382
Ni1 0.939 0.436 0.189
Ni2 0.440 0.937 0.685
Ni3 0.436 0.436 0.189
Ni4 0.937 0.937 0.685
Ni5 0.188 0.188 0.436
Ni6 0.688 0.688 0.937
Ni7 0.436 0.939 0.189
Ni8 0.937 0.440 0.685